No. 1
Below is a geometry-optimized CdSeCl2 structure, with properties calculated at the PBEsol level.

Computed properties:
The calculation puts the formation energy (no corrections) at 0.31 eV/f.u. The crystal system is tetragonal. The value obtained for the offset from the most stable computed form is 362 meV per atom.

Cell: 4.0983 4.4568 4.4568 Å, 90.00 90.00 90.00°
Sites, in units of the cell vectors:
Cl (0.0000, 0.0000, 0.5000)
Cl (0.0000, 0.5000, 0.0000)
Se (0.5000, 0.5000, 0.5000)
Cd (0.5000, 0.0000, 0.0000)

=====

No. 2
Below is a geometry-optimized FeTeIr2 structure, with properties calculated at the PBEsol level.

Computed properties:
The calculation puts the formation energy (no corrections) at 1.65 eV/f.u. The crystal system is monoclinic.

Cell: 2.9638 4.5846 4.8975 Å, 99.66 90.00 108.86°
Site moments in Bohr magnetons follow the coordinates.
Sites, in units of the cell vectors:
Fe (0.7410, 0.4820, 0.2097)  2.44
Ir (0.0025, 0.0050, 0.0298)  0.07
Ir (0.2541, 0.5082, 0.7656)  0.00
Te (0.5024, 0.0048, 0.4950)  -0.02

=====

No. 3
Below is a geometry-optimized CaNi2O4 structure, with properties calculated at the PBEsol level.

Computed properties:
The calculation puts the formation energy (no corrections) at -10.22 eV/f.u. The crystal system is orthorhombic. The value obtained for the offset from the most stable computed form is 0 meV per atom.

Cell: 2.9594 8.7384 10.3227 Å, 90.00 90.00 90.00°
Site moments in Bohr magnetons follow the coordinates.
Sites, in units of the cell vectors:
Ca (0.7500, 0.2579, 0.1608)  0.01
Ca (0.2500, 0.7421, 0.8392)  0.01
Ca (0.7500, 0.7579, 0.3392)  0.01
Ca (0.2500, 0.2421, 0.6608)  0.01
Ni (0.2500, 0.0851, 0.4007)  0.31
Ni (0.7500, 0.4149, 0.9007)  0.31
Ni (0.2500, 0.5851, 0.0993)  0.31
Ni (0.7500, 0.9149, 0.5993)  0.31
Ni (0.7500, 0.9391, 0.1135)  0.75
Ni (0.2500, 0.0609, 0.8865)  0.75
Ni (0.7500, 0.4391, 0.3865)  0.75
Ni (0.2500, 0.5609, 0.6135)  0.75
O (0.2500, 0.5774, 0.4240)  0.16
O (0.7500, 0.4226, 0.5760)  0.16
O (0.2500, 0.0774, 0.0760)  0.16
O (0.7500, 0.9226, 0.9240)  0.16
O (0.2500, 0.4716, 0.7888)  -0.01
O (0.7500, 0.5284, 0.2112)  -0.01
O (0.2500, 0.9716, 0.7112)  -0.01
O (0.7500, 0.0284, 0.2888)  -0.01
O (0.2500, 0.8854, 0.4786)  0.09
O (0.7500, 0.1146, 0.5214)  0.09
O (0.2500, 0.3854, 0.0214)  0.09
O (0.7500, 0.6146, 0.9786)  0.09
O (0.7500, 0.7042, 0.6572)  0.06
O (0.2500, 0.2958, 0.3428)  0.06
O (0.2500, 0.7958, 0.1572)  0.06
O (0.7500, 0.2042, 0.8428)  0.06

=====

No. 4
Below is a geometry-optimized CsGa3Ag structure, with properties calculated at the PBEsol level.

Computed properties:
The crystal system is cubic. The formation energy is 1500 meV per atom.

Cell: 5.8268 5.8268 5.8268 Å, 90.00 90.00 90.00°
Sites, in units of the cell vectors:
Cs (0.0000, 0.0000, 0.0000)
Ga (0.0000, 0.5000, 0.0000)
Ga (0.0000, 0.0000, 0.5000)
Ga (0.5000, 0.0000, 0.0000)
Ag (0.5000, 0.5000, 0.5000)

=====

| no. | spin magnetization (Bohr magnetons per cell) | E_tot (eV per cell) | N(E_F) (states/eV/atom) |
| --- | --- | --- | --- |
| 1 | 0.00 | -8.75 | 0.669 |
| 2 | 2.51 | -30.49 | 0.937 |
| 3 | 5.68 | -182.66 | 0.454 |
| 4 | 0.00 | -6.77 | 1.127 |